#1
5
Lattice="-2.118 3.104 3.676 2.118 -3.104 3.676 2.118 3.104 -3.676" Properties=species:S:1:pos:R:3 comment="Zr2Pt2Au, relaxed, DFT PBE-GGA" spacegroup="Immm (71)" pbc="T T T"
Zr 0.000 0.000 1.550
Zr 0.000 0.000 5.802
Pt 2.118 1.302 0.000
Pt 0.000 1.802 3.676
Au 0.000 3.104 0.000

#2
5
Lattice="-2.339 2.339 5.010 2.339 -2.339 5.010 2.339 2.339 -5.010" Properties=species:S:1:pos:R:3 comment="Zr2Pt2Au, relaxed, DFT PBE-GGA" spacegroup="I4/mmm (139)" pbc="T T T"
Zr 2.339 0.000 2.505
Zr 0.000 2.339 2.505
Pt 0.000 0.000 1.250
Pt 0.000 0.000 8.770
Au 0.000 0.000 5.010

Calculated relative energies: #1 0.000; #2 0.205, given in eV/atom

#1
10
Lattice="7.710 0.000 0.000 0.000 7.710 0.000 0.000 0.000 3.361" Properties=species:S:1:pos:R:3 comment="Zr2Pt2Au, relaxed, DFT PBE-GGA" spacegroup="P4/mbm (127)" pbc="T T T"
Zr 1.247 2.608 0.000
Zr 2.608 6.463 0.000
Zr 5.103 1.247 0.000
Zr 6.463 5.103 0.000
Pt 1.019 4.874 1.681
Pt 2.837 1.019 1.681
Pt 4.874 6.692 1.681
Pt 6.692 2.837 1.681
Au 0.000 0.000 0.000
Au 3.855 3.855 0.000

#2
10
Lattice="7.561 0.000 0.000 0.000 7.561 0.000 0.000 0.000 3.363" Properties=species:S:1:pos:R:3 comment="Zr2Pt2Au, relaxed, DFT PBE-GGA" spacegroup="P4/mbm (127)" pbc="T T T"
Zr 1.287 2.493 0.000
Zr 2.493 6.273 0.000
Zr 5.068 1.287 0.000
Zr 6.273 5.068 0.000
Pt 0.984 4.765 1.681
Pt 2.796 0.984 1.681
Pt 4.765 6.576 1.681
Pt 6.576 2.796 1.681
Au 0.000 0.000 1.681
Au 3.780 3.780 1.681

Calculated relative energies: #1 0.231; #2 0.000, given in eV/atom

#1
10
Lattice="7.356 0.000 0.000 0.000 7.356 0.000 0.000 0.000 3.643" Properties=species:S:1:pos:R:3 comment="Zr2PtAu2, relaxed, DFT PBE-GGA" spacegroup="P4/mbm (127)" pbc="T T T"
Zr 1.276 2.402 0.000
Zr 2.402 6.081 0.000
Zr 4.954 1.276 0.000
Zr 6.081 4.954 0.000
Pt 0.000 0.000 1.821
Pt 3.678 3.678 1.821
Au 0.968 4.646 1.821
Au 2.711 0.968 1.821
Au 4.646 6.389 1.821
Au 6.389 2.711 1.821

#2
10
Lattice="7.314 0.000 0.000 0.000 7.314 0.000 0.000 0.000 3.931" Properties=species:S:1:pos:R:3 comment="Zr2PtAu2, relaxed, DFT PBE-GGA" spacegroup="P4/mbm (127)" pbc="T T T"
Zr 1.205 2.452 0.000
Zr 2.452 6.109 0.000
Zr 4.862 1.205 0.000
Zr 6.109 4.862 0.000
Pt 0.000 0.000 0.000
Pt 3.657 3.657 0.000
Au 1.004 4.661 1.965
Au 2.653 1.004 1.965
Au 4.661 6.310 1.965
Au 6.310 2.653 1.965

Calculated relative energies: #1 0.000; #2 0.217, given in eV/atom

#1
13
Lattice="-4.761 4.761 2.828 4.761 -4.761 2.828 4.761 4.761 -2.828" Properties=species:S:1:pos:R:3 comment="PuAu12, relaxed, DFT PBE-GGA" spacegroup="I4/mmm (139)" pbc="T T T"
Pu 0.000 0.000 0.000
Au 2.381 2.381 -1.414
Au 3.303 0.000 0.000
Au 2.381 -2.381 1.414
Au 6.219 0.000 0.000
Au 4.761 2.726 0.000
Au 0.000 3.303 0.000
Au -2.381 2.381 1.414
Au 2.726 4.761 0.000
Au 2.381 2.381 1.414
Au 2.036 0.000 2.828
Au 0.000 6.219 0.000
Au 0.000 2.036 2.828

#2
13
Lattice="0.000 5.716 5.716 5.716 0.000 5.716 5.716 5.716 0.000" Properties=species:S:1:pos:R:3 comment="PuAu12, relaxed, DFT PBE-GGA" spacegroup="Fm-3m (225)" pbc="T T T"
Pu 0.000 0.000 0.000
Au 5.716 3.777 3.777
Au 7.656 5.716 3.777
Au 7.656 3.777 5.716
Au 3.777 5.716 3.777
Au 5.716 7.656 3.777
Au 3.777 3.777 5.716
Au 7.656 7.656 5.716
Au 5.716 3.777 7.656
Au 7.656 5.716 7.656
Au 3.777 7.656 5.716
Au 3.777 5.716 7.656
Au 5.716 7.656 7.656

Calculated relative energies: #1 0.000; #2 0.584, given in eV/atom

#1
5
Lattice="-2.272 3.530 3.960 2.272 -3.530 3.960 2.272 3.530 -3.960" Properties=species:S:1:pos:R:3 comment="Pu3Au2, relaxed, DFT PBE-GGA" spacegroup="Immm (71)" pbc="T T T"
Pu 0.000 0.000 0.000
Pu 2.272 0.000 2.313
Pu 0.000 3.530 1.647
Au 2.272 2.098 0.000
Au 0.000 1.432 3.960

#2
10
Lattice="8.036 0.000 0.000 0.000 8.036 0.000 0.000 0.000 4.017" Properties=species:S:1:pos:R:3 comment="Pu3Au2, relaxed, DFT PBE-GGA" spacegroup="P4/mbm (127)" pbc="T T T"
Pu 0.000 0.000 0.000
Pu 1.363 2.655 2.009
Pu 2.655 6.673 2.009
Pu 4.018 4.018 0.000
Pu 5.381 1.363 2.009
Pu 6.673 5.381 2.009
Au 1.028 5.046 0.000
Au 2.990 1.028 0.000
Au 5.046 7.007 0.000
Au 7.007 2.990 0.000

Calculated relative energies: #1 0.037; #2 0.000, given in eV/atom

#1
8
Lattice="3.101 0.000 0.000 0.127 8.092 0.000 0.024 4.018 7.298" Properties=species:S:1:pos:R:3 comment="Pu5Au3, relaxed, DFT PBE-GGA" spacegroup="P1 (1)" pbc="T T T"
Pu 0.000 0.000 0.000
Pu 0.050 4.051 3.701
Pu 1.996 9.652 5.583
Pu 3.065 4.035 0.081
Pu 3.115 8.083 3.709
Au 1.514 2.011 1.922
Au 1.563 6.088 5.532
Au 1.585 6.105 1.824

#2
8
Lattice="4.048 -4.801 0.000 4.048 4.801 0.000 0.000 0.000 5.039" Properties=species:S:1:pos:R:3 comment="Pu5Au3, relaxed, DFT PBE-GGA" spacegroup="Cmmm (65)" pbc="T T T"
Pu 0.000 0.000 0.000
Pu 2.024 2.401 0.000
Pu 2.325 0.000 2.520
Pu 2.024 -2.401 0.000
Pu 5.771 0.000 2.520
Au 4.048 2.722 2.520
Au 4.048 0.000 0.000
Au 4.048 -2.722 2.520

Calculated relative energies: #1 0.023; #2 0.000, given in eV/atom

#1
14
Lattice="-4.350 4.350 4.296 4.350 -4.350 4.296 4.350 4.350 -4.296" Properties=species:S:1:pos:R:3 comment="Pu4Rh2Au, relaxed, DFT PBE-GGA" spacegroup="I-42d (122)" pbc="T T T"
Pu 5.834 0.637 0.569
Pu 3.713 2.865 -1.579
Pu 0.637 2.865 -0.569
Pu 0.637 1.484 2.717
Pu 3.713 1.484 3.727
Pu 1.484 -0.637 5.875
Pu 2.865 4.986 1.579
Pu -1.484 3.713 4.865
Rh 2.175 -1.210 3.222
Rh 3.140 2.175 1.074
Rh 2.175 5.559 -1.074
Rh 1.210 2.175 5.370
Au 0.000 0.000 0.000
Au 0.000 4.350 2.148

#2
7
Lattice="2.351 1.357 7.103 -2.351 1.357 7.103 0.000 -2.715 7.103" Properties=species:S:1:pos:R:3 comment="Pu4Rh2Au, relaxed, DFT PBE-GGA" spacegroup="R-3m (166)" pbc="T T T"
Pu 0.000 0.000 1.421
Pu 0.000 0.000 4.828
Pu 0.000 0.000 16.480
Pu 0.000 0.000 19.888
Rh 0.000 0.000 7.697
Rh 0.000 0.000 13.611
Au 0.000 0.000 10.654

Calculated relative energies: #1 0.000; #2 0.090, given in eV/atom

#1
15
Lattice="7.034 0.000 0.000 0.000 7.034 0.000 0.000 0.000 7.034" Properties=species:S:1:pos:R:3 comment="Pu3RhAu, relaxed, DFT PBE-GGA" spacegroup="Pm-3m (221)" pbc="T T T"
Pu 0.000 0.000 0.000
Pu 1.875 1.875 1.875
Pu 1.875 1.875 5.159
Pu 1.875 5.159 1.875
Pu 1.875 5.159 5.159
Pu 5.159 1.875 1.875
Pu 5.159 1.875 5.159
Pu 5.159 5.159 1.875
Pu 5.159 5.159 5.159
Rh 0.000 3.517 3.517
Rh 3.517 0.000 3.517
Rh 3.517 3.517 0.000
Au 0.000 0.000 3.517
Au 0.000 3.517 0.000
Au 3.517 0.000 0.000

#2
20
Lattice="5.456 -7.744 0.000 5.456 7.744 0.000 -0.766 0.000 5.241" Properties=species:S:1:pos:R:3 comment="Pu3RhAu, relaxed, DFT PBE-GGA" spacegroup="C2/c (15)" pbc="T T T"
Pu 3.899 6.029 4.989
Pu 3.238 3.769 3.805
Pu 5.865 6.029 2.872
Pu 3.841 1.296 0.931
Pu 6.525 3.769 4.055
Pu 3.458 -1.296 3.551
Pu 6.688 1.296 1.689
Pu 3.621 -3.769 1.185
Pu 6.305 -1.296 4.310
Pu 4.281 -6.029 2.368
Pu 6.908 -3.769 1.435
Pu 6.248 -6.029 0.252
Rh 5.265 3.701 1.310
Rh 4.882 1.357 3.930
Rh 5.265 -1.357 1.310
Rh 4.882 -3.701 3.930
Au 1.768 1.211 3.161
Au 2.151 -1.211 0.541
Au 7.995 1.211 4.700
Au 8.378 -1.211 2.079

Calculated relative energies: #1 0.000; #2 0.021, given in eV/atom

#1
4
Lattice="0.000 3.566 3.566 3.566 0.000 3.566 3.566 3.566 0.000" Properties=species:S:1:pos:R:3 comment="SmPuRhAu, relaxed, DFT PBE-GGA" spacegroup="F-43m (216)" pbc="T T T"
Sm 0.000 0.000 0.000
Pu 3.566 3.566 3.566
Rh 1.783 1.783 1.783
Au 5.350 5.350 5.350

#2
4
Lattice="4.221 0.000 0.000 0.000 1.976 5.655 0.000 -1.976 5.655" Properties=species:S:1:pos:R:3 comment="SmPuRhAu, relaxed, DFT PBE-GGA" spacegroup="Amm2 (38)" pbc="T T T"
Sm 0.000 0.000 0.000
Pu 2.110 0.000 3.213
Rh 0.000 0.000 8.452
Au 2.110 0.000 6.450

Calculated relative energies: #1 0.082; #2 0.000, given in eV/atom

#1
4
Lattice="3.455 0.000 0.000 0.000 3.455 0.000 0.000 0.000 7.400" Properties=species:S:1:pos:R:3 comment="TbPuRhAu, relaxed, DFT PBE-GGA" spacegroup="P4mm (99)" pbc="T T T"
Tb 0.000 0.000 0.000
Pu 0.000 0.000 3.411
Rh 1.727 1.727 1.686
Au 1.727 1.727 5.505

#2
4
Lattice="0.000 3.538 3.538 3.538 0.000 3.538 3.538 3.538 0.000" Properties=species:S:1:pos:R:3 comment="TbPuRhAu, relaxed, DFT PBE-GGA" spacegroup="F-43m (216)" pbc="T T T"
Tb 0.000 0.000 0.000
Pu 3.538 3.538 3.538
Rh 5.307 5.307 5.307
Au 1.769 1.769 1.769

Calculated relative energies: #1 0.000; #2 0.059, given in eV/atom

#1
3
Lattice="-1.700 1.700 5.097 1.700 -1.700 5.097 1.700 1.700 -5.097" Properties=species:S:1:pos:R:3 comment="PuRuAu, relaxed, DFT PBE-GGA" spacegroup="I4mm (107)" pbc="T T T"
Pu 0.000 0.000 0.000
Ru 0.000 0.000 3.675
Au 0.000 0.000 7.112

#2
6
Lattice="2.346 -2.279 0.000 2.346 2.279 0.000 -1.126 0.000 9.625" Properties=species:S:1:pos:R:3 comment="PuRuAu, relaxed, DFT PBE-GGA" spacegroup="C2/m (12)" pbc="T T T"
Pu 0.913 0.000 0.758
Pu 2.653 0.000 8.867
Ru 0.693 0.000 7.352
Ru 2.872 0.000 2.272
Au 0.601 0.000 3.974
Au 2.965 0.000 5.651

Calculated relative energies: #1 0.000; #2 0.160, given in eV/atom

#1
4
Lattice="4.351 0.000 0.000 0.000 4.440 0.000 0.000 0.000 4.936" Properties=species:S:1:pos:R:3 comment="PuSnSbAu, relaxed, DFT PBE-GGA" spacegroup="Pmmm (47)" pbc="T T T"
Pu 0.000 0.000 0.000
Sn 2.175 0.000 2.468
Sb 2.175 2.220 0.000
Au 0.000 2.220 2.468

#2
4
Lattice="0.000 3.686 3.686 3.686 0.000 3.686 3.686 3.686 0.000" Properties=species:S:1:pos:R:3 comment="PuSnSbAu, relaxed, DFT PBE-GGA" spacegroup="F-43m (216)" pbc="T T T"
Pu 0.000 0.000 0.000
Sn 3.686 3.686 3.686
Sb 5.528 5.528 5.528
Au 1.843 1.843 1.843

Calculated relative energies: #1 0.000; #2 0.143, given in eV/atom